The following is a DFT calculation (SCAN) of a crystal of ScAs2W relaxed with PBEsol.

Structure (CIF):
```
data_ScAs2W
_cell_length_a 2.866
_cell_length_b 2.866
_cell_length_c 9.579
_cell_angle_alpha 90.00
_cell_angle_beta 90.00
_cell_angle_gamma 105.58
_symmetry_space_group_name_H-M 'P 1'
_symmetry_Int_Tables_number 1
loop_
_symmetry_equiv_pos_as_xyz
'x,y,z'
loop_
_atom_site_label
_atom_site_type_symbol
_atom_site_fract_x
_atom_site_fract_y
_atom_site_fract_z
_atom_site_occupancy
Sc1 Sc 0.000 0.000 0.000 1
As1 As 0.000 0.000 0.436 1
As2 As 0.500 0.500 0.777 1
W1 W 0.500 0.500 0.237 1
```

ρ, g cm⁻³: 8.30
Formation enthalpy at 0 K, kcal/mol of atoms: -1.124
Calculated total energy, eV per atom: -31.125

=====

The following is a DFT calculation (SCAN) of a crystal of ScAsW relaxed with PBEsol.

Structure (CIF):
```
data_ScAsW
_cell_length_a 3.229
_cell_length_b 3.229
_cell_length_c 5.963
_cell_angle_alpha 90.00
_cell_angle_beta 90.00
_cell_angle_gamma 120.00
_symmetry_space_group_name_H-M 'P 1'
_symmetry_Int_Tables_number 1
loop_
_symmetry_equiv_pos_as_xyz
'x,y,z'
loop_
_atom_site_label
_atom_site_type_symbol
_atom_site_fract_x
_atom_site_fract_y
_atom_site_fract_z
_atom_site_occupancy
Sc1 Sc 0.000 0.000 0.000 1
As1 As 0.667 0.333 0.345 1
W1 W 0.333 0.667 0.630 1
```

ρ, g cm⁻³: 9.37
Formation enthalpy at 0 K, kcal/mol of atoms: -2.750
Polymorph energy (0 for the lowest one), eV per formula unit: 0.00
Calculated total energy, eV per atom: -34.824

=====

The following is a DFT calculation (SCAN) of a crystal of Sc2AsW relaxed with PBEsol.

Structure (CIF):
```
data_Sc2AsW
_cell_length_a 4.574
_cell_length_b 4.574
_cell_length_c 4.574
_cell_angle_alpha 60.00
_cell_angle_beta 60.00
_cell_angle_gamma 60.00
_symmetry_space_group_name_H-M 'P 1'
_symmetry_Int_Tables_number 1
loop_
_symmetry_equiv_pos_as_xyz
'x,y,z'
loop_
_atom_site_label
_atom_site_type_symbol
_atom_site_fract_x
_atom_site_fract_y
_atom_site_fract_z
_atom_site_occupancy
Sc1 Sc 0.000 0.000 0.000 1
Sc2 Sc 0.250 0.250 0.250 1
As1 As 0.750 0.750 0.750 1
W1 W 0.500 0.500 0.500 1
```

ρ, g cm⁻³: 8.56
Formation enthalpy at 0 K, kcal/mol of atoms: 2.045
Calculated total energy, eV per atom: -29.500

=====

The following is a DFT calculation (SCAN) of a crystal of Sc2AsW relaxed with PBEsol.

Structure (CIF):
```
data_Sc2AsW
_cell_length_a 8.762
_cell_length_b 8.762
_cell_length_c 8.762
_cell_angle_alpha 20.66
_cell_angle_beta 20.66
_cell_angle_gamma 20.66
_symmetry_space_group_name_H-M 'P 1'
_symmetry_Int_Tables_number 1
loop_
_symmetry_equiv_pos_as_xyz
'x,y,z'
loop_
_atom_site_label
_atom_site_type_symbol
_atom_site_fract_x
_atom_site_fract_y
_atom_site_fract_z
_atom_site_occupancy
Sc1 Sc 0.247 0.247 0.247 1
Sc2 Sc 0.753 0.753 0.753 1
As1 As 0.500 0.500 0.500 1
W1 W 0.000 0.000 0.000 1
```

ρ, g cm⁻³: 7.90
Formation enthalpy at 0 K, kcal/mol of atoms: -1.617
Calculated total energy, eV per atom: -29.658

=====

The following is a DFT calculation (SCAN) of a crystal of Y2ScAs relaxed with PBEsol.

Structure (CIF):
```
data_Y2ScAs
_cell_length_a 9.187
_cell_length_b 9.187
_cell_length_c 9.187
_cell_angle_alpha 23.65
_cell_angle_beta 23.65
_cell_angle_gamma 23.65
_symmetry_space_group_name_H-M 'P 1'
_symmetry_Int_Tables_number 1
loop_
_symmetry_equiv_pos_as_xyz
'x,y,z'
loop_
_atom_site_label
_atom_site_type_symbol
_atom_site_fract_x
_atom_site_fract_y
_atom_site_fract_z
_atom_site_occupancy
Y1 Y 0.231 0.231 0.231 1
Y2 Y 0.769 0.769 0.769 1
Sc1 Sc 0.000 0.000 0.000 1
As1 As 0.500 0.500 0.500 1
```

ρ, g cm⁻³: 4.51
Formation enthalpy at 0 K, kcal/mol of atoms: -15.283
Calculated total energy, eV per atom: -23.191

=====

The following is a DFT calculation (SCAN) of a crystal of YSc2As relaxed with PBEsol.

Structure (CIF):
```
data_YSc2As
_cell_length_a 4.348
_cell_length_b 4.348
_cell_length_c 4.395
_cell_angle_alpha 90.00
_cell_angle_beta 90.00
_cell_angle_gamma 90.00
_symmetry_space_group_name_H-M 'P 1'
_symmetry_Int_Tables_number 1
loop_
_symmetry_equiv_pos_as_xyz
'x,y,z'
loop_
_atom_site_label
_atom_site_type_symbol
_atom_site_fract_x
_atom_site_fract_y
_atom_site_fract_z
_atom_site_occupancy
Y1 Y 0.000 0.000 0.000 1
Sc1 Sc 0.000 0.500 0.500 1
Sc2 Sc 0.500 0.000 0.500 1
As1 As 0.500 0.500 0.000 1
```

ρ, g cm⁻³: 5.07
Formation enthalpy at 0 K, kcal/mol of atoms: -11.033
Calculated total energy, eV per atom: -19.605

=====

no.,DOS at the Fermi energy (states/eV/f.u.)
1,2.490
2,0.870
3,5.212
4,5.061
5,2.923
6,3.269